LaCoSF2 | PBE+U | relaxed

Unit cell a=4.6928 b=3.9090 c=4.6928 alpha=90.00 beta=90.00 gamma=90.00
Last column: magnetic moment on the atom in μB.
Sites, in units of the cell vectors:
Co  0.0000  0.5000  0.0000  0.01
S  0.0000  0.0000  0.0000  -0.01
F  0.0000  0.0000  0.5000  -0.01
F  0.5000  0.0000  0.0000  0.00
La  0.5000  0.5000  0.5000  -0.08

Properties
The calculation puts the total magnetization at 0.2 μB per cell. The theoretical density comes out at 5.2 g/cm³. For the density of states at the Fermi level, the calculation gives 2.9 states/eV/f.u. The value obtained for the total energy is -22.91 eV/cell. The volume comes out at 17.2 A^3/atom.